1.
The following is a PBE-GGA calculation of crystalline HoInSn at its relaxed geometry, from Alexandria.

Unit cell a=3.291 b=8.553 c=3.291 alpha=78.91 beta=90.00 gamma=101.09
Element x y z (fractional)
Sn 0.047 0.094 0.953
Ho 0.233 0.465 0.767
In 0.870 0.741 0.130

Output
The calculation puts the energy relative to the elements at 2 meV/atom. For the final energy, the calculation gives -3.771 eV per atom. The calculation puts the density of states at the Fermi level at 2.84 states/eV per cell. As for the space group: No. 107. The energy above the lowest structure with this stoichiometry comes out at 351 meV per atom.

2.
The following is a PBE-GGA calculation of crystalline Na2LiSmI6 at its relaxed geometry, from Alexandria.

Unit cell a=7.929 b=7.929 c=8.449 alpha=62.03 beta=62.05 gamma=59.99
Element x y z (fractional)
Na 0.519 0.519 0.444
Na 0.014 0.014 0.957
Li 0.818 0.818 0.545
Sm 0.326 0.326 0.021
I 0.589 0.208 0.261
I 0.208 0.943 0.261
I 0.943 0.589 0.261
I 0.440 0.715 0.755
I 0.715 0.090 0.755
I 0.090 0.440 0.754

Output
For the final energy, the calculation gives -3.142 eV per atom. The calculation puts the density of states at the Fermi level at 0.00 states/eV per cell. For the uncorrected formation energy, the calculation gives -123.9 kJ/mol of atoms. As for the space group: No. 146.

How do the records compare in volume? In the order shown, they have 29.71; 38.68 Å³ per atom.
How do the records compare in total moment? In the order shown, they have 0.357; 0.000 Bohr magnetons per cell.